Here is a geometry-optimized BaIn2HgIr structure from Alexandria. Energies are from GGA-PBE.

D(E_F)   3.97 states/eV/cell
Formation energy   -0.291 eV per atom
Magnetic moment   0.000 μB/f.u.
Polymorph energy (0 for the lowest one)   0 meV per atom

CIF file:
```
data_BaIn2HgIr
_symmetry_space_group_name_H-M 'P 4/m m m'
_symmetry_Int_Tables_number 123
_symmetry_space_group_name_Hall '-P 4 2'
_cell_length_a 5.1891
_cell_length_b 5.1891
_cell_length_c 5.3991
_cell_angle_alpha 90.00
_cell_angle_beta 90.00
_cell_angle_gamma 90.00
loop_
_atom_site_label
_atom_site_type_symbol
_atom_site_fract_x
_atom_site_fract_y
_atom_site_fract_z
Ba1 Ba 0.0000 0.0000 0.0000
In1 In 0.0000 0.5000 0.5000
Hg1 Hg 0.5000 0.5000 0.0000
Ir1 Ir 0.5000 0.5000 0.5000
```



Here is a geometry-optimized BaLaIn2Hg structure from Alexandria. Energies are from GGA-PBE.

D(E_F)   6.98 states/eV/cell
Formation energy   0.522 eV per atom
Magnetic moment   0.000 μB/f.u.

CIF file:
```
data_BaLaIn2Hg
_symmetry_space_group_name_H-M 'P 4/m m m'
_symmetry_Int_Tables_number 123
_symmetry_space_group_name_Hall '-P 4 2'
_cell_length_a 5.9968
_cell_length_b 5.9968
_cell_length_c 5.8327
_cell_angle_alpha 90.00
_cell_angle_beta 90.00
_cell_angle_gamma 90.00
loop_
_atom_site_label
_atom_site_type_symbol
_atom_site_fract_x
_atom_site_fract_y
_atom_site_fract_z
Ba1 Ba 0.0000 0.0000 0.0000
La1 La 0.5000 0.5000 0.5000
In1 In 0.0000 0.5000 0.0000
Hg1 Hg 0.0000 0.0000 0.5000
```



Here is a geometry-optimized BaLi2InHg5 structure from Alexandria. Energies are from GGA-PBE.

D(E_F)   4.31 states/eV/cell
Formation energy   -0.280 eV per atom
Magnetic moment   0.000 μB/f.u.

CIF file:
```
data_BaLi2InHg5
_symmetry_space_group_name_H-M 'P 4/m m m'
_symmetry_Int_Tables_number 123
_symmetry_space_group_name_Hall '-P 4 2'
_cell_length_a 5.3379
_cell_length_b 5.3379
_cell_length_c 8.1923
_cell_angle_alpha 90.00
_cell_angle_beta 90.00
_cell_angle_gamma 90.00
loop_
_atom_site_label
_atom_site_type_symbol
_atom_site_fract_x
_atom_site_fract_y
_atom_site_fract_z
Ba1 Ba 0.0000 0.0000 0.0000
Li1 Li 0.5000 0.5000 0.3322
In1 In 0.0000 0.0000 0.5000
Hg1 Hg 0.0000 0.5000 0.2886
Hg2 Hg 0.5000 0.5000 0.0000
```



Here is a geometry-optimized Ba2LiIn6Hg structure from Alexandria. Energies are from GGA-PBE.

D(E_F)   9.24 states/eV/cell
Formation energy   -0.270 eV per atom
Magnetic moment   0.000 μB/f.u.

CIF file:
```
data_Ba2LiIn6Hg
_symmetry_space_group_name_H-M 'C 1 2/m 1'
_symmetry_Int_Tables_number 12
_cell_length_a 14.2703
_cell_length_b 6.1583
_cell_length_c 9.9879
_cell_angle_alpha 90.00
_cell_angle_beta 133.92
_cell_angle_gamma 90.00
loop_
_symmetry_equiv_pos_as_xyz
'x,y,z'
'-x,-y,-z'
'-x,y,-z'
'x,-y,z'
'x+1/2,y+1/2,z'
'-x+1/2,-y+1/2,-z'
'-x+1/2,y+1/2,-z'
'x+1/2,-y+1/2,z'
loop_
_atom_site_label
_atom_site_type_symbol
_atom_site_fract_x
_atom_site_fract_y
_atom_site_fract_z
Ba1 Ba 0.0275 0.0000 0.2697
Li1 Li 0.0000 0.5000 0.5000
In1 In 0.1657 0.5000 0.9129
In2 In 0.2399 0.2475 0.7306
Hg1 Hg 0.0000 0.5000 0.0000
```



Here is a geometry-optimized BaLi4In2Hg structure from Alexandria. Energies are from GGA-PBE.

D(E_F)   17.43 states/eV/cell
Formation energy   -0.260 eV per atom
Magnetic moment   0.000 μB/f.u.

CIF file:
```
data_BaLi4In2Hg
_symmetry_space_group_name_H-M 'R -3 m'
_symmetry_Int_Tables_number 166
_symmetry_space_group_name_Hall '-R 3 2"'
_cell_length_a 4.7833
_cell_length_b 4.7833
_cell_length_c 29.7813
_cell_angle_alpha 90.00
_cell_angle_beta 90.00
_cell_angle_gamma 120.00
loop_
_atom_site_label
_atom_site_type_symbol
_atom_site_fract_x
_atom_site_fract_y
_atom_site_fract_z
Ba1 Ba 0.0000 0.0000 0.0000
Li1 Li 0.0000 0.0000 0.1377
Li2 Li 0.0000 0.0000 0.4130
In1 In 0.0000 0.0000 0.2415
Hg1 Hg 0.0000 0.0000 0.5000
```



Here is a geometry-optimized Ba2LiIn3Hg4 structure from Alexandria. Energies are from GGA-PBE.

D(E_F)   5.49 states/eV/cell
Formation energy   -0.375 eV per atom
Magnetic moment   0.000 μB/f.u.

CIF file:
```
data_Ba2LiIn3Hg4
_symmetry_space_group_name_H-M 'P -4 m 2'
_symmetry_Int_Tables_number 115
_cell_length_a 5.0970
_cell_length_b 5.0970
_cell_length_c 11.3537
_cell_angle_alpha 90.00
_cell_angle_beta 90.00
_cell_angle_gamma 90.00
loop_
_symmetry_equiv_pos_as_xyz
'x,y,z'
'y,-x,-z'
'-x,-y,z'
'-y,x,-z'
'-x,y,z'
'-y,-x,-z'
'x,-y,z'
'y,x,-z'
loop_
_atom_site_label
_atom_site_type_symbol
_atom_site_fract_x
_atom_site_fract_y
_atom_site_fract_z
Ba1 Ba 0.0000 0.5000 0.2418
Li1 Li 0.0000 0.0000 0.5000
In1 In 0.0000 0.5000 0.8661
In2 In 0.5000 0.5000 0.5000
Hg1 Hg 0.0000 0.0000 0.0000
Hg2 Hg 0.0000 0.5000 0.6154
Hg3 Hg 0.5000 0.5000 0.0000
```